# 1
The following is a PBE calculation of a relaxed structure of LiTm2Hf, from Alexandria.

Geometry as POSCAR:
```
LiTm2Hf
1.0
-2.589 -0.899 1.956
1.957 0.294 2.724
-2.389 8.597 0.787
Li Hf Tm
1 1 2
Direct
0.500 0.500 0.000
0.500 0.500 0.500
0.000 0.000 0.746
0.000 0.000 0.254
```

## Properties
calculated density	8.6	g/cm3
energy relative to the elements	0.090	eV/atom
E_tot	-5.11	eV per atom
energy above the lowest structure with this stoichiometry	0	kJ/mol of formula units

***

# 2
The following is a PBE calculation of a relaxed structure of Cs2HfCuTe4, from Alexandria.

Geometry as POSCAR:
```
Cs2HfCuTe4
1.0
-3.851 4.219 2.705
-3.581 -3.042 7.031
8.787 7.025 8.935
Te Cu Cs Hf
8 2 4 2
Direct
0.305 0.804 0.109
0.164 0.304 0.391
0.532 0.304 0.609
0.891 0.804 0.891
0.859 0.696 0.609
0.218 0.196 0.891
0.586 0.196 0.109
0.445 0.696 0.391
0.250 0.500 0.500
0.500 0.000 0.000
0.928 0.500 0.143
0.178 0.000 0.643
0.572 0.500 0.857
0.822 0.000 0.357
0.750 0.500 0.500
0.000 0.000 0.000
```

## Properties
calculated density	4.9	g/cm3
E_tot	-4.30	eV per atom
energy relative to the elements, uncorrected	-0.757	eV per atom

***

# 3
The following is a PBE calculation of a relaxed structure of RbCaSb4, from Alexandria.

Geometry as POSCAR:
```
RbCaSb4
1.0
4.408 0.000 0.001
0.000 4.408 -0.001
0.000 0.000 11.219
Sb Ca Rb
4 1 1
Direct
0.500 0.000 0.221
0.500 0.000 0.779
0.000 0.500 0.221
0.000 0.500 0.779
0.000 0.000 0.000
0.500 0.500 0.500
```

## Properties
calculated density	4.7	g/cm3
E_tot	-3.64	eV per atom
energy above the lowest structure with this stoichiometry	0	kJ/mol of formula units
energy relative to the elements, uncorrected	-0.398	eV per atom

***

# 4
The following is a PBE calculation of a relaxed structure of ZrHg2Os, from Alexandria.

Geometry as POSCAR:
```
ZrHg2Os
1.0
7.911 0.000 0.000
0.000 7.911 0.000
3.955 3.955 2.736
Zr Os Hg
2 2 4
Direct
0.500 0.500 0.000
0.250 0.750 0.500
0.000 0.000 0.000
0.750 0.250 0.500
0.652 0.125 0.250
0.098 0.625 0.250
0.875 0.902 0.750
0.375 0.348 0.750
```

## Properties
calculated density	13.2	g/cm3
energy relative to the elements	0.675	eV/atom
E_tot	-4.42	eV per atom
energy above the lowest structure with this stoichiometry	228	kJ/mol of formula units

***

# 5
The following is a PBE calculation of a relaxed structure of CrOsPt4, from Alexandria.

Geometry as POSCAR:
```
CrOsPt4
1.0
0.000 3.675 3.675
3.675 0.000 3.675
3.675 3.675 0.000
Os Pt Cr
1 4 1
Direct
0.000 0.000 0.000
0.875 0.375 0.375
0.375 0.375 0.375
0.375 0.875 0.375
0.375 0.375 0.875
0.750 0.750 0.750
```

## Properties
calculated density	17.1	g/cm3
energy relative to the elements	0.432	eV/atom
E_tot	-7.07	eV per atom

***

# 6
The following is a PBE calculation of a relaxed structure of TlCd2In2, from Alexandria.

Geometry as POSCAR:
```
TlCd2In2
1.0
-0.158 -6.671 5.706
4.450 -4.980 -5.699
3.055 1.126 1.401
Tl In Cd
2 4 4
Direct
0.500 0.500 0.000
0.000 0.000 0.000
0.367 0.867 0.000
0.867 0.633 0.000
0.133 0.367 0.000
0.633 0.133 0.000
0.665 0.835 0.500
0.335 0.165 0.500
0.835 0.335 0.500
0.165 0.665 0.500
```

## Properties
calculated density	8.0	g/cm3
energy relative to the elements	0.054	eV/atom
E_tot	-1.88	eV per atom
energy above the lowest structure with this stoichiometry	2	kJ/mol of formula units

***

# 7
The following is a PBE calculation of a relaxed structure of LaHgPd2, from Alexandria.

Geometry as POSCAR:
```
LaHgPd2
1.0
6.457 0.000 0.000
0.000 7.281 0.000
0.000 0.000 7.627
Hg Pd La
4 8 4
Direct
0.175 0.750 0.106
0.675 0.250 0.394
0.325 0.750 0.606
0.825 0.250 0.894
0.450 0.948 0.303
0.550 0.448 0.697
0.050 0.552 0.803
0.450 0.552 0.303
0.950 0.448 0.197
0.050 0.948 0.803
0.550 0.052 0.697
0.950 0.052 0.197
0.668 0.750 0.965
0.832 0.750 0.465
0.332 0.250 0.035
0.168 0.250 0.535
```

## Properties
calculated density	10.2	g/cm3
energy relative to the elements	-0.593	eV/atom
E_tot	-4.50	eV per atom

***

# 8
The following is a PBE calculation of a relaxed structure of FeTe3H, from Alexandria.

Geometry as POSCAR:
```
FeTe3H
1.0
4.579 0.000 0.000
0.000 4.579 0.000
0.000 0.000 4.579
Fe H Te
1 1 3
Direct
0.500 0.500 0.500
0.000 0.000 0.000
0.500 0.000 0.000
0.000 0.000 0.500
0.000 0.500 0.000
```

## Properties
calculated density	7.6	g/cm3
E_tot	-3.14	eV per atom
energy above the lowest structure with this stoichiometry	106	kJ/mol of formula units

***

# 9
The following is a PBE calculation of a relaxed structure of ZrTcS2, from Alexandria.

Geometry as POSCAR:
```
ZrTcS2
1.0
4.717 0.000 0.000
0.000 4.717 0.000
2.359 2.359 6.922
S Zr Tc
4 2 2
Direct
0.089 0.625 0.250
0.375 0.339 0.750
0.875 0.911 0.750
0.661 0.125 0.250
0.250 0.750 0.500
0.500 0.500 0.000
0.000 0.000 0.000
0.750 0.250 0.500
```

## Properties
calculated density	5.5	g/cm3
E_tot	-7.41	eV per atom
energy above the lowest structure with this stoichiometry	0	kJ/mol of formula units
energy relative to the elements, uncorrected	-0.616	eV per atom

***

# 10
The following is a PBE calculation of a relaxed structure of CaZnS2N, from Alexandria.

Geometry as POSCAR:
```
CaZnS2N
1.0
-1.056 -0.799 5.145
5.197 -0.466 0.995
0.257 4.454 0.744
N S Ca Zn
1 2 1 1
Direct
0.000 0.000 0.500
0.000 0.500 0.000
0.500 0.000 0.000
0.000 0.000 0.000
0.500 0.500 0.500
```

## Properties
calculated density	2.4	g/cm3
E_tot	-3.21	eV per atom
energy above the lowest structure with this stoichiometry	397	kJ/mol of formula units
energy relative to the elements, uncorrected	0.760	eV per atom

***

# 11
The following is a PBE calculation of a relaxed structure of BaRh3Br, from Alexandria.

Geometry as POSCAR:
```
BaRh3Br
1.0
-3.377 -2.301 2.522
2.567 0.628 4.010
-2.251 4.168 0.789
Rh Ba Br
3 1 1
Direct
0.000 0.000 0.500
0.500 0.000 0.000
0.000 0.500 0.000
0.500 0.500 0.500
0.000 0.000 0.000
```

## Properties
calculated density	7.9	g/cm3
E_tot	-4.74	eV per atom
energy above the lowest structure with this stoichiometry	0	kJ/mol of formula units
energy relative to the elements, uncorrected	0.393	eV per atom

***

# 12
The following is a PBE calculation of a relaxed structure of NbAlTe2N, from Alexandria.

Geometry as POSCAR:
```
NbAlTe2N
1.0
5.604 0.000 0.000
0.000 5.604 0.000
0.000 0.000 3.911
Nb Al Te N
1 1 2 1
Direct
0.000 0.000 0.000
0.500 0.500 0.500
0.000 0.500 0.000
0.500 0.000 0.000
0.000 0.000 0.500
```

## Properties
calculated density	5.3	g/cm3
E_tot	-5.52	eV per atom
energy above the lowest structure with this stoichiometry	0	kJ/mol of formula units
energy relative to the elements, uncorrected	0.162	eV per atom

***

Record order is preserved below.
Calculated volume: 25.39 43.42 36.34 21.40 16.54 27.32 22.41 19.20 19.25 25.53 22.15 24.56 Å³/atom